[1]
FePd2AuN | Alexandria | PBE | optimized geometry; calculated total energy = -5.535 eV per atom; formation energy from raw total energies = 0.5553 eV/atom; mass density = 10.03 g/cm3; energy relative to the lowest polymorph listed for this composition = 0.4569 eV per atom
1.0
4.8620 0.0000 0.0000
0.0000 4.8620 0.0000
0.0000 0.0000 3.3597
Fe Pd Au N
1 2 1 1
direct
0.0000 0.0000 0.0000
0.0000 0.5000 0.0000
0.5000 0.0000 0.0000
0.5000 0.5000 0.5000
0.0000 0.0000 0.5000


[2]
FePd2AuN | Alexandria | PBE | optimized geometry; calculated total energy = -5.992 eV per atom; formation energy from raw total energies = 0.0984 eV/atom; mass density = 11.52 g/cm3; energy relative to the lowest polymorph listed for this composition = 0.0000 eV per atom
1.0
4.2863 0.0000 0.0000
0.0000 4.2863 0.0000
0.0000 0.0000 3.7628
Fe Pd Au N
1 2 1 1
direct
0.0000 0.0000 0.0000
0.0000 0.5000 0.5000
0.5000 0.0000 0.5000
0.5000 0.5000 0.0000
0.0000 0.0000 0.5000


[3]
FeRh2AuN | Alexandria | PBE | optimized geometry; calculated total energy = -6.835 eV per atom; formation energy from raw total energies = 0.1189 eV/atom; mass density = 11.83 g/cm3
1.0
4.1140 0.0000 0.0000
0.0000 4.1140 0.0000
0.0000 0.0000 3.9197
Fe Rh Au N
1 2 1 1
direct
0.0000 0.0000 0.0000
0.0000 0.5000 0.5000
0.5000 0.0000 0.5000
0.5000 0.5000 0.0000
0.0000 0.0000 0.5000


[4]
FeRu2AuN | Alexandria | PBE | optimized geometry; calculated total energy = -7.079 eV per atom; formation energy from raw total energies = 0.6446 eV/atom; mass density = 11.38 g/cm3; energy relative to the lowest polymorph listed for this composition = 0.4252 eV per atom
1.0
3.9361 0.0000 0.0000
0.0000 3.9361 0.0000
0.0000 0.0000 4.4155
Fe Ru Au N
1 2 1 1
direct
0.0000 0.0000 0.0000
0.0000 0.5000 0.5000
0.5000 0.0000 0.5000
0.5000 0.5000 0.0000
0.5000 0.5000 0.5000


[5]
FeRu2AuN | Alexandria | PBE | optimized geometry; calculated total energy = -7.504 eV per atom; formation energy from raw total energies = 0.2194 eV/atom; mass density = 11.99 g/cm3; energy relative to the lowest polymorph listed for this composition = 0.0000 eV per atom
1.0
4.0544 0.0000 0.0000
0.0000 4.0544 0.0000
0.0000 0.0000 3.9516
Fe Ru Au N
1 2 1 1
direct
0.0000 0.0000 0.0000
0.0000 0.5000 0.5000
0.5000 0.0000 0.5000
0.5000 0.5000 0.0000
0.0000 0.0000 0.5000


[6]
Fe2SbAuN | Alexandria | PBE | optimized geometry; calculated total energy = -5.158 eV per atom; formation energy from raw total energies = 1.3719 eV/atom; mass density = 7.71 g/cm3
1.0
5.0529 0.0000 0.0000
0.0000 5.0529 0.0000
0.0000 0.0000 3.7482
Fe Sb Au N
2 1 1 1
direct
0.0000 0.5000 0.0000
0.5000 0.0000 0.0000
0.0000 0.0000 0.5000
0.5000 0.5000 0.0000
0.5000 0.5000 0.5000


[7]
Sc2FeAuN | Alexandria | PBE | optimized geometry; calculated total energy = -7.479 eV per atom; formation energy from raw total energies = -0.9336 eV/atom; mass density = 7.92 g/cm3
1.0
4.5470 0.0000 0.0000
0.0000 4.5470 0.0000
0.0000 0.0000 3.6167
Sc Fe Au N
2 1 1 1
direct
0.0000 0.5000 0.0000
0.5000 0.0000 0.0000
0.0000 0.0000 0.5000
0.5000 0.5000 0.5000
0.0000 0.0000 0.0000


[8]
FeAu2SeN | Alexandria | PBE | optimized geometry; calculated total energy = -4.351 eV per atom; formation energy from raw total energies = 1.0142 eV/atom; mass density = 8.54 g/cm3
1.0
4.0119 0.0000 0.0000
0.0000 4.0119 0.0000
0.0000 0.0000 6.5537
Fe Au Se N
1 2 1 1
direct
0.0000 0.0000 0.0000
0.0000 0.5000 0.5000
0.5000 0.0000 0.5000
0.5000 0.5000 0.0000
0.5000 0.5000 0.5000


[9]
Fe2SnAuN | Alexandria | PBE | optimized geometry; calculated total energy = -6.287 eV per atom; formation energy from raw total energies = 0.2189 eV/atom; mass density = 9.95 g/cm3
1.0
3.8928 0.0000 0.0000
0.0000 3.8928 0.0000
0.0000 0.0000 4.8600
Fe Sn Au N
2 1 1 1
direct
0.0000 0.5000 0.0000
0.5000 0.0000 0.0000
0.0000 0.0000 0.5000
0.5000 0.5000 0.5000
0.0000 0.0000 0.0000


[10]
FeSnAu2N | Alexandria | PBE | optimized geometry; calculated total energy = -3.369 eV per atom; formation energy from raw total energies = 2.0999 eV/atom; mass density = 7.85 g/cm3
1.0
4.9897 0.0000 0.0000
0.0000 4.9897 0.0000
0.0000 0.0000 4.9519
Fe Sn Au N
1 1 2 1
direct
0.0000 0.0000 0.0000
0.0000 0.0000 0.5000
0.0000 0.5000 0.5000
0.5000 0.0000 0.5000
0.5000 0.5000 0.0000


[11]
Sr2FeAuN | Alexandria | PBE | optimized geometry; calculated total energy = -5.203 eV per atom; formation energy from raw total energies = -0.5173 eV/atom; mass density = 6.86 g/cm3
1.0
5.4588 0.0000 0.0000
0.0000 5.4588 0.0000
0.0000 0.0000 3.5898
Sr Fe Au N
2 1 1 1
direct
0.0000 0.5000 0.0000
0.5000 0.0000 0.0000
0.0000 0.0000 0.5000
0.5000 0.5000 0.5000
0.0000 0.0000 0.0000


[12]
Ta2FeAuN | Alexandria | PBE | optimized geometry; calculated total energy = -9.123 eV per atom; formation energy from raw total energies = -0.3687 eV/atom; mass density = 14.77 g/cm3
1.0
4.2621 0.0000 0.0000
0.0000 4.2621 0.0000
0.0000 0.0000 3.8915
Ta Fe Au N
2 1 1 1
direct
0.0000 0.5000 0.0000
0.5000 0.0000 0.0000
0.0000 0.0000 0.5000
0.5000 0.5000 0.5000
0.0000 0.0000 0.0000